Record 1
## MgTaPt2 (GGA-PBEsol)

Data for crystalline MgTaPt2 at its relaxed geometry.

Cell: 2.8138 4.7753 4.7753 Å, 90.00 90.00 90.00°
Positions (direct):
Pt 0.0000 0.0000 0.5000
Pt 0.0000 0.5000 0.0000
Ta 0.5000 0.5000 0.5000
Mg 0.5000 0.0000 0.0000

Properties
Energy of formation   -0.68 eV per atom
Raw total energy   -30.90 eV per cell
Crystal system   tetragonal

Record 2
## Zr2CdPb (GGA-PBEsol)

Data for crystalline Zr2CdPb at its relaxed geometry.

Cell: 3.1925 5.3183 5.3183 Å, 107.82 90.00 90.00°
Positions (direct):
Cd 0.5000 0.0000 0.0000
Zr 0.0000 0.0000 0.5000
Zr 0.0000 0.5000 0.0000
Pb 0.5000 0.5000 0.5000

Properties
Energy of formation   -0.20 eV per atom
Raw total energy   -24.18 eV per cell
Crystal system   orthorhombic

Record 3
## KCoS3 (GGA-PBEsol)

Data for crystalline KCoS3 at its relaxed geometry.

Cell: 4.5341 4.5341 4.5341 Å, 90.00 90.00 90.00°
Site moments in Bohr magnetons follow the coordinates.
Positions (direct):
S 0.0000 0.5000 0.0000  0.19
S 0.0000 0.0000 0.5000  0.19
S 0.5000 0.0000 0.0000  0.19
Co 0.0000 0.0000 0.0000  1.26
K 0.5000 0.5000 0.5000  0.01

Properties
Formation energy (no corrections)   -172 meV per atom
Raw total energy   -22.88 eV per cell
Crystal system   cubic

Record 4
## LiTlSi (GGA-PBEsol)

Data for crystalline LiTlSi at its relaxed geometry.

Cell: 3.1187 4.0114 5.2759 Å, 112.34 107.19 90.00°
Positions (direct):
Tl 0.3308 0.3308 0.6616
Li 0.0123 0.0123 0.0245
Si 0.6569 0.6569 0.3138

Properties
Formation energy (no corrections)   113 meV per atom
Raw total energy   -10.00 eV per cell
Crystal system   orthorhombic

Record 5
## LaSc2Mn (GGA-PBEsol)

Data for crystalline LaSc2Mn at its relaxed geometry.

Cell: 3.1755 3.1755 8.7149 Å, 90.00 90.00 90.00°
Site moments in Bohr magnetons follow the coordinates.
Positions (direct):
Mn 0.5000 0.5000 0.5000  1.51
Sc 0.0000 0.0000 0.3255  -0.16
Sc 0.0000 0.0000 0.6745  -0.16
La 0.5000 0.5000 0.0000  0.04

Properties
Energy relative to the lowest polymorph listed for this composition   0.0000 eV per atom
Energy of formation   0.11 eV per atom
Raw total energy   -27.89 eV per cell
Crystal system   tetragonal

Record 6
## CsLa2Br7 (GGA-PBEsol)

Data for crystalline CsLa2Br7 at its relaxed geometry.

Cell: 7.5645 13.7941 13.8586 Å, 90.00 90.00 90.00°
Positions (direct):
Br 0.5087 0.4163 0.8871
Br 0.7500 0.8175 0.1023
Br 0.0085 0.0432 0.1256
Br 0.2500 0.1825 0.8977
Br 0.4915 0.4568 0.6256
Br 0.4913 0.5837 0.1129
Br 0.5085 0.9568 0.8744
Br 0.5087 0.0837 0.3871
Br 0.5005 0.8109 0.3276
Br 0.9995 0.6891 0.8276
Br 0.0005 0.1891 0.6724
Br 0.2500 0.3175 0.3977
Br 0.5085 0.5432 0.3744
Br 0.9995 0.8109 0.3276
Br 0.7500 0.6825 0.6023
Br 0.0087 0.5837 0.1129
Br 0.9915 0.9568 0.8744
Br 0.4913 0.9163 0.6129
Br 0.9913 0.0837 0.3871
Br 0.5005 0.6891 0.8276
Br 0.0005 0.3109 0.1724
Br 0.0087 0.9163 0.6129
Br 0.4915 0.0432 0.1256
Br 0.4995 0.3109 0.1724
Br 0.9915 0.5432 0.3744
Br 0.9913 0.4163 0.8871
Br 0.4995 0.1891 0.6724
Br 0.0085 0.4568 0.6256
La 0.2500 0.1616 0.2475
La 0.2500 0.0353 0.7338
La 0.7500 0.8384 0.7525
La 0.2500 0.3384 0.7475
La 0.7500 0.6616 0.2525
La 0.7500 0.9647 0.2662
La 0.7500 0.5353 0.7662
La 0.2500 0.4647 0.2338
Cs 0.2500 0.6897 0.5538
Cs 0.2500 0.8103 0.0538
Cs 0.7500 0.3103 0.4462
Cs 0.7500 0.1897 0.9462

Properties
Formation energy (no corrections)   -1980 meV per atom
Raw total energy   -178.09 eV per cell
Crystal system   orthorhombic

Record 7
## Zr2ScGeBr (GGA-PBEsol)

Data for crystalline Zr2ScGeBr at its relaxed geometry.

Cell: 4.6832 5.1667 5.1667 Å, 90.00 90.00 90.00°
Positions (direct):
Br 0.5000 0.0000 0.0000
Zr 0.0000 0.5000 0.0000
Zr 0.0000 0.0000 0.5000
Sc 0.0000 0.0000 0.0000
Ge 0.5000 0.5000 0.5000

Properties
Formation energy (no corrections)   836 meV per atom
Raw total energy   -27.41 eV per cell
Crystal system   tetragonal

Record 8
## HfCl3O (GGA-PBEsol)

Data for crystalline HfCl3O at its relaxed geometry.

Cell: 4.3716 4.3716 4.3716 Å, 90.00 90.00 90.00°
Site moments in Bohr magnetons follow the coordinates.
Positions (direct):
Hf 0.5000 0.5000 0.5000  0.88
O 0.0000 0.0000 0.0000  -0.04
Cl 0.0000 0.5000 0.0000  -0.03
Cl 0.5000 0.0000 0.0000  -0.03
Cl 0.0000 0.0000 0.5000  -0.03

Properties
Formation energy (no corrections)   379 meV per atom
Raw total energy   -19.88 eV per cell
Crystal system   cubic

Record 9
## CoAg2Au (GGA-PBEsol)

Data for crystalline CoAg2Au at its relaxed geometry.

Cell: 2.7600 2.7600 7.9829 Å, 90.00 90.00 89.91°
Site moments in Bohr magnetons follow the coordinates.
Positions (direct):
Ag 0.0000 0.0000 0.2304  0.00
Ag 0.0000 0.0000 0.7696  0.00
Au 0.5000 0.5000 0.5000  -0.02
Co 0.5000 0.5000 0.0000  1.75

Properties
Energy relative to the lowest polymorph listed for this composition   0.0487 eV per atom
Energy of formation   0.24 eV per atom
Raw total energy   -17.32 eV per cell
Crystal system   tetragonal

Record 10
## Ta2Hg (GGA-PBEsol)

Data for crystalline Ta2Hg at its relaxed geometry.

Cell: 2.7695 5.0139 8.1388 Å, 90.00 99.80 90.00°
Positions (direct):
Ta 0.1154 0.7500 0.2307
Ta 0.8846 0.2500 0.7693
Ta 0.5472 0.2500 0.0944
Ta 0.4528 0.7500 0.9056
Hg 0.7840 0.7500 0.5680
Hg 0.2160 0.2500 0.4320

Properties
Energy of formation   0.31 eV per atom
Raw total energy   -49.46 eV per cell
Crystal system   orthorhombic

Record 11
## Zn5Ir3 (GGA-PBEsol)

Data for crystalline Zn5Ir3 at its relaxed geometry.

Cell: 3.9784 5.2168 5.2168 Å, 91.79 90.00 90.00°
Positions (direct):
Zn 0.0000 0.0000 0.0000
Zn 0.5000 0.2763 0.2763
Zn 0.0000 0.0000 0.5000
Zn 0.0000 0.5000 0.0000
Zn 0.5000 0.7237 0.7237
Ir 0.5000 0.2193 0.7807
Ir 0.5000 0.7807 0.2193
Ir 0.0000 0.5000 0.5000

Properties
Energy of formation   -0.18 eV per atom
Raw total energy   -38.79 eV per cell
Crystal system   orthorhombic

Record 12
## Mg2CdAg (GGA-PBEsol)

Data for crystalline Mg2CdAg at its relaxed geometry.

Cell: 4.1995 4.1995 5.2394 Å, 113.63 113.63 90.00°
Positions (direct):
Mg 0.0000 0.0000 0.0000
Mg 0.7500 0.2500 0.5000
Ag 0.5000 0.5000 0.0000
Cd 0.2500 0.7500 0.5000

Properties
Energy relative to the lowest polymorph listed for this composition   0.0512 eV per atom
Energy of formation   -0.14 eV per atom
Raw total energy   -8.49 eV per cell
Crystal system   tetragonal

Record 13
## CaTlAg2 (GGA-PBEsol)

Data for crystalline CaTlAg2 at its relaxed geometry.

Cell: 3.7086 3.7086 6.4566 Å, 90.00 90.00 90.00°
Positions (direct):
Ag 0.0000 0.0000 0.7423
Ag 0.0000 0.0000 0.2577
Tl 0.5000 0.5000 0.5000
Ca 0.5000 0.5000 0.0000

Properties
Energy of formation   -0.14 eV per atom
Raw total energy   -11.96 eV per cell
Crystal system   tetragonal

Record 14
## Li12W7O28 (GGA-PBEsol)

Data for crystalline Li12W7O28 at its relaxed geometry.

Cell: 8.3330 8.3330 8.3330 Å, 90.00 90.00 90.00°
Positions (direct):
W 0.0000 0.5000 0.5000
W 0.5000 0.0000 0.5000
W 0.5000 0.5000 0.0000
W 0.8579 0.1421 0.1421
W 0.1421 0.8579 0.1421
W 0.1421 0.1421 0.8579
W 0.8579 0.8579 0.8579
O 0.1095 0.1095 0.1095
O 0.1222 0.3754 0.3754
O 0.1222 0.6246 0.6246
O 0.3754 0.6246 0.8778
O 0.6451 0.8848 0.8848
O 0.8778 0.6246 0.3754
O 0.8848 0.6451 0.8848
O 0.6246 0.3754 0.8778
O 0.3754 0.3754 0.1222
O 0.8905 0.1095 0.8905
O 0.8848 0.8848 0.6451
O 0.3549 0.1152 0.8848
O 0.1095 0.8905 0.8905
O 0.3754 0.1222 0.3754
O 0.6246 0.6246 0.1222
O 0.3754 0.8778 0.6246
O 0.6451 0.1152 0.1152
O 0.8848 0.3549 0.1152
O 0.1152 0.1152 0.6451
O 0.8848 0.1152 0.3549
O 0.6246 0.8778 0.3754
O 0.6246 0.1222 0.6246
O 0.8778 0.3754 0.6246
O 0.8905 0.8905 0.1095
O 0.1152 0.8848 0.3549
O 0.3549 0.8848 0.1152
O 0.1152 0.3549 0.8848
O 0.1152 0.6451 0.1152
Li 0.5953 0.8563 0.1437
Li 0.4047 0.1437 0.1437
Li 0.8563 0.8563 0.4047
Li 0.8563 0.4047 0.8563
Li 0.8563 0.5953 0.1437
Li 0.8563 0.1437 0.5953
Li 0.1437 0.1437 0.4047
Li 0.1437 0.4047 0.1437
Li 0.4047 0.8563 0.8563
Li 0.1437 0.8563 0.5953
Li 0.5953 0.1437 0.8563
Li 0.1437 0.5953 0.8563

Properties
Formation energy (no corrections)   -2106 meV per atom
Raw total energy   -366.23 eV per cell
Crystal system   cubic

Record 15
## LaNi2Os (GGA-PBEsol)

Data for crystalline LaNi2Os at its relaxed geometry.

Cell: 2.8833 4.6312 4.6312 Å, 103.56 89.97 89.97°
Positions (direct):
La 0.5000 0.5000 0.5000
Ni 0.0000 0.0000 0.5000
Ni 0.0000 0.5000 0.0000
Os 0.5000 0.0000 0.0000

Properties
Energy relative to the lowest polymorph listed for this composition   0.0000 eV per atom
Energy of formation   0.23 eV per atom
Raw total energy   -28.94 eV per cell
Crystal system   orthorhombic

Record 16
## TiAsPb2Se (GGA-PBEsol)

Data for crystalline TiAsPb2Se at its relaxed geometry.

Cell: 4.6381 5.4602 5.4602 Å, 90.00 90.00 90.00°
Positions (direct):
Ti 0.0000 0.0000 0.0000
Pb 0.0000 0.5000 0.0000
Pb 0.0000 0.0000 0.5000
As 0.5000 0.0000 0.0000
Se 0.5000 0.5000 0.5000

Properties
Formation energy (no corrections)   206 meV per atom
Raw total energy   -24.25 eV per cell
Crystal system   tetragonal

Record 17
## Sc5Be (GGA-PBEsol)

Data for crystalline Sc5Be at its relaxed geometry.

Cell: 3.2607 5.7269 7.6325 Å, 68.19 77.66 73.45°
Positions (direct):
Sc 0.5000 0.0000 0.0000
Sc 0.1665 0.4552 0.2117
Sc 0.8636 0.9068 0.3659
Sc 0.8335 0.5448 0.7883
Sc 0.1364 0.0932 0.6341
Be 0.5000 0.5000 0.5000

Properties
Energy relative to the lowest polymorph listed for this composition   0.0032 eV per atom
Energy of formation   0.02 eV per atom
Raw total energy   -36.89 eV per cell
Crystal system   monoclinic

Record 18
## TcAs2Ir (GGA-PBEsol)

Data for crystalline TcAs2Ir at its relaxed geometry.

Cell: 2.9600 3.8717 5.2114 Å, 90.00 90.00 90.00°
Positions (direct):
Ir 0.0000 0.0000 0.4583
As 0.0000 0.0000 0.9460
As 0.5000 0.5000 0.3043
Tc 0.5000 0.5000 0.7913

Properties
Energy relative to the lowest polymorph listed for this composition   0.0102 eV per atom
Energy of formation   -0.04 eV per atom
Raw total energy   -31.48 eV per cell
Crystal system   orthorhombic

Record 19
## TcRu (GGA-PBEsol)

Data for crystalline TcRu at its relaxed geometry.

Cell: 4.2789 4.6882 5.4139 Å, 90.00 90.00 90.00°
Positions (direct):
Tc 0.2500 0.5845 0.6237
Tc 0.7500 0.9155 0.1237
Tc 0.2500 0.0845 0.8763
Tc 0.7500 0.4155 0.3763
Ru 0.7500 0.4159 0.8742
Ru 0.7500 0.9159 0.6258
Ru 0.2500 0.5841 0.1258
Ru 0.2500 0.0841 0.3742

Properties
Energy relative to the lowest polymorph listed for this composition   0.0061 eV per atom
Energy of formation   -0.07 eV per atom
Raw total energy   -86.30 eV per cell
Crystal system   orthorhombic

Record 20
## BeIrPb2 (GGA-PBEsol)

Data for crystalline BeIrPb2 at its relaxed geometry.

Cell: 3.7026 4.5668 5.1595 Å, 97.43 90.00 113.91°
Positions (direct):
Be 0.0000 0.0000 0.5000
Pb 0.2317 0.4634 0.2454
Pb 0.7683 0.5366 0.7546
Ir 0.5000 0.0000 0.0000

Properties
Energy of formation   0.65 eV per atom
Raw total energy   -19.21 eV per cell
Crystal system   monoclinic

Record 21
## Y2GaCo2 (GGA-PBEsol)

Data for crystalline Y2GaCo2 at its relaxed geometry.

Cell: 4.0036 5.2857 5.2857 Å, 60.55 67.75 67.75°
Positions (direct):
Co 0.5000 0.7161 0.2839
Co 0.5000 0.2839 0.7161
Ga 0.0000 0.0000 0.0000
Y 0.2062 0.2938 0.2938
Y 0.7938 0.7062 0.7062

Properties
Energy of formation   -0.43 eV per atom
Raw total energy   -34.59 eV per cell
Crystal system   orthorhombic

Record 22
## Nb5VFe2Se20 (GGA-PBEsol)

Data for crystalline Nb5VFe2Se20 at its relaxed geometry.

Cell: 6.8284 9.9144 10.5744 Å, 61.80 71.83 69.72°
Site moments in Bohr magnetons follow the coordinates.
Positions (direct):
Se 0.5696 0.4877 0.6335  0.00
Se 0.7280 0.0422 0.7610  0.00
Se 0.2654 0.9630 0.2416  0.01
Se 0.6892 0.7626 0.0836  -0.03
Se 0.8229 0.2318 0.9152  -0.01
Se 0.6422 0.6688 0.8424  0.00
Se 0.2863 0.2547 0.9125  -0.01
Se 0.7932 0.1615 0.5008  0.01
Se 0.3591 0.3621 0.1765  -0.02
Se 0.9321 0.5131 0.3601  -0.01
Se 0.2368 0.0348 0.7559  0.01
Se 0.2026 0.8354 0.5017  0.00
Se 0.7722 0.9598 0.2387  0.00
Se 0.2077 0.7403 0.0879  -0.02
Se 0.2991 0.1633 0.4959  0.00
Se 0.1264 0.6408 0.8350  -0.03
Se 0.8628 0.3404 0.1582  -0.03
Se 0.0612 0.4847 0.6414  -0.01
Se 0.7074 0.8373 0.4983  0.01
Se 0.4395 0.5160 0.3575  -0.01
Nb 0.9293 0.2719 0.6315  0.02
Nb 0.5744 0.7283 0.3653  0.03
Nb 0.4869 0.4460 0.9146  0.14
Nb 0.0788 0.7239 0.3639  0.01
Nb 0.4203 0.2753 0.6342  0.00
V 0.0097 0.5531 0.0906  0.65
Fe 0.9348 0.4457 0.9012  0.70
Fe 0.5618 0.5557 0.1012  0.61

Properties
Formation energy (no corrections)   -621 meV per atom
Raw total energy   -176.05 eV per cell
Crystal system   triclinic

Record 23
## Na2CrCl (GGA-PBEsol)

Data for crystalline Na2CrCl at its relaxed geometry.

Cell: 4.9213 7.2565 7.2565 Å, 83.40 70.18 70.18°
Site moments in Bohr magnetons follow the coordinates.
Positions (direct):
Cr 0.0000 0.0000 0.0000  4.09
Cr 0.7500 0.5000 0.5000  4.09
Na 0.2426 0.8824 0.3824  0.00
Na 0.8750 0.6176 0.8824  0.00
Na 0.5074 0.1176 0.6176  0.00
Na 0.3750 0.3824 0.1176  0.00
Cl 0.5000 0.0000 0.0000  -0.01
Cl 0.2500 0.5000 0.5000  -0.01

Properties
Formation energy (no corrections)   109 meV per atom
Raw total energy   -29.23 eV per cell
Crystal system   tetragonal

The calculation returns the following total moment values, one per record and in order: 0.00, 0.00, 2.18, 0.00, 1.23, 0.00, 0.00, 1.21, 1.69, 0.00, 0.00, 0.00, 0.00, 1.19, 0.00, 0.00, 0.00, 0.00, 0.00, 0.00, 0.00, 2.09, 4.83 μB/f.u..